Arrangement 1

PrNd3Al2 | PBE | relaxed

Lattice parameters (Å, degrees): 5.278 6.758 9.893 90.00 90.00 90.00
Fractional coordinates of all 12 atoms:
Nd 0.000 0.812 0.673
Nd 0.000 0.976 0.048
Nd 0.500 0.688 0.171
Nd 0.500 0.188 0.829
Nd 0.000 0.476 0.952
Nd 0.000 0.312 0.327
Al 0.000 0.791 0.351
Al 0.500 0.708 0.852
Al 0.500 0.208 0.148
Al 0.000 0.291 0.649
Pr 0.500 0.525 0.547
Pr 0.500 0.025 0.453

Output
- spin magnetization (μB per atom) = 0.000
- density of states at the Fermi level (states/eV per cell) = 12.63

***

Arrangement 2

PrNd3Al2 | PBE | relaxed

Lattice parameters (Å, degrees): 5.310 9.229 9.314 123.99 90.00 106.72
Fractional coordinates of all 12 atoms:
Al 0.521 0.042 0.888
Al 0.766 0.532 0.130
Al 0.479 0.958 0.112
Al 0.234 0.468 0.870
Nd 0.938 0.876 0.591
Nd 0.062 0.124 0.409
Nd 0.381 0.762 0.293
Nd 0.687 0.374 0.372
Nd 0.313 0.626 0.628
Nd 0.619 0.238 0.707
Pr 0.129 0.259 0.073
Pr 0.871 0.741 0.927

Output
- spin magnetization (μB per atom) = 0.000
- density of states at the Fermi level (states/eV per cell) = 11.65

***

arrangement 1 is favored, and the nearest alternative lies 80 meV/atom above it.

***

Arrangement 1

PrNd2Al6 | PBE | relaxed

Lattice parameters (Å, degrees): 3.798 7.957 7.957 120.00 90.00 90.00
Fractional coordinates of all 9 atoms:
Nd 0.000 0.667 0.333
Nd 0.000 0.333 0.667
Al 0.500 0.334 0.000
Al 0.500 0.334 0.334
Al 0.500 0.666 0.000
Al 0.500 0.000 0.334
Al 0.500 0.000 0.666
Al 0.500 0.666 0.666
Pr 0.000 0.000 0.000

Output
- spin magnetization (μB per atom) = 0.000
- density of states at the Fermi level (states/eV per cell) = 5.43

***

Arrangement 2

PrNd2Al6 | PBE | relaxed

Lattice parameters (Å, degrees): 4.513 8.071 8.071 54.44 73.76 73.76
Fractional coordinates of all 9 atoms:
Al 0.818 0.491 0.874
Al 0.182 0.126 0.509
Al 0.000 0.815 0.185
Al 0.182 0.509 0.126
Al 0.000 0.185 0.815
Al 0.818 0.874 0.491
Nd 0.374 0.126 0.126
Nd 0.626 0.874 0.874
Pr 0.500 0.500 0.500

Output
- spin magnetization (μB per atom) = 0.000
- density of states at the Fermi level (states/eV per cell) = 5.04

***

arrangement 1 is favored, and the nearest alternative lies 250 meV/atom above it.

***

Arrangement 1

Pr2NdAl | PBE | relaxed

Lattice parameters (Å, degrees): 3.741 3.741 11.001 80.22 80.22 60.04
Fractional coordinates of all 4 atoms:
Al 0.666 0.666 0.001
Pr 0.262 0.262 0.214
Pr 0.071 0.071 0.786
Nd 0.500 0.500 0.500

Output
- spin magnetization (μB per atom) = 0.000
- density of states at the Fermi level (states/eV per cell) = 4.78

***

Arrangement 2

Pr2NdAl | PBE | relaxed

Lattice parameters (Å, degrees): 4.925 4.922 4.922 90.00 90.00 90.00
Fractional coordinates of all 4 atoms:
Nd 0.500 0.500 0.500
Al 0.500 0.000 0.000
Pr 0.000 0.500 0.000
Pr 0.000 0.000 0.500

Output
- spin magnetization (μB per atom) = 0.000
- density of states at the Fermi level (states/eV per cell) = 5.99

***

arrangement 2 is favored, and the nearest alternative lies 143 meV/atom above it.